# 1
A plane-wave DFT calculation with GGA-PBE was carried out for a relaxed structure of NdSc3Co8.

Cell lengths 4.9451, 4.9451, 24.4096 Å; angles 90.00, 90.00, 120.00 degrees
Last column: nearest neighbours and their distance in Å.
Space group R3m (No. 160, hexagonal axes)
Symmetry-distinct sites (fractional):
Nd 0.0000 0.0000 0.0000 (multiplicity 3)  12 Co 2.90-2.99, 4 Sc 3.06-3.10
Sc 0.0000 0.0000 0.1269 (multiplicity 3)  12 Co 2.80-2.89, 3 Sc 3.01, 1 Nd 3.10
Sc 0.0000 0.0000 0.4997 (multiplicity 3)  12 Co 2.83-2.90, 4 Sc 2.98-3.01
Sc 0.0000 0.0000 0.6216 (multiplicity 3)  12 Co 2.90-3.07, 1 Sc 2.98, 3 Nd 3.06
Co 0.0000 0.0000 0.3115 (multiplicity 3)  6 Co 2.51-2.56
Co 0.0000 0.0000 0.8130 (multiplicity 3)  6 Co 2.43-2.44
Co 0.0036 0.5018 0.0658 (multiplicity 9)  6 Co 2.44-2.56
Co 0.1695 0.3391 0.8930 (multiplicity 9)  6 Co 2.43-2.52

Its energy of formation is -0.25 eV/atom. As for the size of the total moment: 22.1 Bohr magnetons per cell.

# 2
A plane-wave DFT calculation with GGA-PBE was carried out for a relaxed structure of LiAgMo4.

Cell lengths 7.4335, 7.4335, 7.4335 Å; angles 90.00, 90.00, 90.00 degrees
Last column: nearest neighbours and their distance in Å.
Space group F-43m (No. 216)
Symmetry-distinct sites (fractional):
Li 0.0000 0.0000 0.0000 (multiplicity 4)  12 Mo 3.08, 4 Ag 3.22
Ag 0.2500 0.2500 0.7500 (multiplicity 4)  12 Mo 3.08, 4 Li 3.22
Mo 0.1259 0.1259 0.3741 (multiplicity 16)  6 Mo 2.61-2.65

Its energy of formation is 0.58 eV/atom. As for the size of the total moment: 0.0 Bohr magnetons per cell.

# 3
A plane-wave DFT calculation with GGA-PBE was carried out for a relaxed structure of ScCdBr2.

Cell lengths 3.6498, 4.6001, 5.9988 Å; angles 90.00, 90.00, 90.00 degrees
Last column: nearest neighbours and their distance in Å.
Space group Pmmm (No. 47)
Symmetry-distinct sites (fractional):
Sc 0.0000 0.0000 0.0000 (multiplicity 1)  4 Br 2.94
Cd 0.5000 0.0000 0.5000 (multiplicity 1)  4 Br 2.94
Br 0.0000 0.5000 0.5000 (multiplicity 1)  4 Cd 2.94
Br 0.5000 0.5000 0.0000 (multiplicity 1)  4 Sc 2.94

The uncorrected formation energy is -10.75 kcal/mol of atoms. As for the size of the total moment: 0.0 Bohr magnetons per cell.

# 4
A plane-wave DFT calculation with GGA-PBE was carried out for a relaxed structure of Cr2GaPt.

Cell lengths 7.0398, 7.0398, 4.9711 Å; angles 90.00, 90.00, 90.00 degrees
Last column: nearest neighbours and their distance in Å.
Space group I-42d (No. 122)
Symmetry-distinct sites (fractional):
Cr 0.2433 0.7500 0.1250 (multiplicity 8)  2 Cr 2.49, 2 Pt 2.53, 2 Ga 2.60
Ga 0.0000 0.0000 0.5000 (multiplicity 4)  2 Pt 2.49, 4 Cr 2.60
Pt 0.0000 0.0000 0.0000 (multiplicity 4)  2 Ga 2.49, 4 Cr 2.53

Its energy of formation is 0.47 eV/atom. As for the size of the total moment: 15.5 Bohr magnetons per cell.

# 5
A plane-wave DFT calculation with GGA-PBE was carried out for a relaxed structure of Sr2RuSe.

Cell lengths 7.0827, 4.0752, 8.5486 Å; angles 90.00, 105.86, 90.00 degrees
Last column: nearest neighbours and their distance in Å.
Space group C2/m (No. 12)
Symmetry-distinct sites (fractional):
Sr 0.2448 0.0000 0.2357 (multiplicity 4)  3 Se 3.05, 3 Ru 3.20-3.21
Ru 0.0000 0.0000 0.5000 (multiplicity 2)  6 Sr 3.20-3.21
Se 0.0000 0.5000 0.0000 (multiplicity 2)  6 Sr 3.05

The uncorrected formation energy is -6.85 kcal/mol of atoms. As for the size of the total moment: 2.3 Bohr magnetons per cell.

# 6
A plane-wave DFT calculation with GGA-PBE was carried out for a relaxed structure of Pm4Dy5Tm2.

Cell lengths 11.0355, 7.4188, 9.1303 Å; angles 90.00, 105.55, 90.00 degrees
Last column: nearest neighbours and their distance in Å.
Space group C2/m (No. 12)
Symmetry-distinct sites (fractional):
Pm 0.1700 0.0000 0.1189 (multiplicity 4)  2 Pm 3.41-3.80, 3 Tm 3.42-3.72, 6 Dy 3.43-3.47
Pm 0.1894 0.0000 0.4984 (multiplicity 4)  1 Pm 3.41, 5 Dy 3.42-3.67, 1 Tm 3.47
Dy 0.0000 0.5000 0.5000 (multiplicity 2)  4 Dy 3.21, 2 Pm 3.42
Dy 0.0722 0.2211 0.7780 (multiplicity 8)  2 Dy 3.21-3.28, 4 Pm 3.43-3.56, 2 Tm 3.43-3.47
Tm 0.1408 0.5000 0.1225 (multiplicity 4)  1 Tm 3.31, 2 Pm 3.42-3.47, 6 Dy 3.43-3.67

Its energy of formation is 0.11 eV/atom. As for the size of the total moment: 0.0 Bohr magnetons per cell.

# 7
A plane-wave DFT calculation with GGA-PBE was carried out for a relaxed structure of HfPRu.

Cell lengths 6.4220, 6.4220, 3.8042 Å; angles 90.00, 90.00, 120.00 degrees
Last column: nearest neighbours and their distance in Å.
Space group P-62m (No. 189)
Symmetry-distinct sites (fractional):
Hf 0.0000 0.5838 0.0000 (multiplicity 3)  5 P 2.67-2.71, 2 Ru 2.88
P 0.0000 0.0000 0.0000 (multiplicity 1)  6 Ru 2.48, 3 Hf 2.67
P 0.3333 0.6667 0.5000 (multiplicity 2)  3 Ru 2.47, 6 Hf 2.71
Ru 0.0000 0.2470 0.5000 (multiplicity 3)  4 P 2.47-2.48, 2 Ru 2.75

Its energy of formation is -1.08 eV/atom. As for the size of the total moment: 0.0 Bohr magnetons per cell.

# 8
A plane-wave DFT calculation with GGA-PBE was carried out for a relaxed structure of Pd4PtRh2.

Cell lengths 6.4828, 6.4828, 2.7016 Å; angles 90.00, 90.00, 90.00 degrees
Last column: nearest neighbours and their distance in Å.
Space group P4/mmm (No. 123)
Symmetry-distinct sites (fractional):
Pd 0.2124 0.2124 0.0000 (multiplicity 4)  1 Pt 2.64, 4 Rh 2.68, 4 Pd 2.70-2.75
Pt 0.5000 0.5000 0.0000 (multiplicity 1)  4 Pd 2.64, 2 Pt 2.70
Rh 0.0000 0.5000 0.5000 (multiplicity 2)  8 Pd 2.68, 2 Rh 2.70

Its energy of formation is 0.31 eV/atom. As for the size of the total moment: 0.0 Bohr magnetons per cell.

Result set for energy: -6.97; -7.44; -3.11; -6.61; -4.33; -4.52; -9.29; -5.62 eV per atom, one per record in the order listed.